# 1
Computed, not measured: a relaxed structure of TiN at the PBE level of DFT.

Uncorrected energy ... -8.8036 eV/atom
ΔE_f (raw) ... -0.69 eV per atom

Cell and atoms, written as extended XYZ:
```
6
Lattice="4.134 0.000 0.000 0.000 4.134 0.000 0.000 0.000 4.134" Properties=species:S:1:pos:R:3 pbc="T T T"
Ti 0.000 0.000 2.067
Ti 0.000 2.067 0.000
Ti 2.067 0.000 0.000
N 0.000 2.067 2.067
N 2.067 0.000 2.067
N 2.067 2.067 0.000
```

# 2
Computed, not measured: a relaxed structure of PrGa5Pd2 at the PBE level of DFT.

Uncorrected energy ... -4.3650 eV/atom
Energy of formation ... -0.58 eV per atom

Cell and atoms, written as extended XYZ:
```
16
Lattice="4.109 0.000 0.000 0.000 7.168 0.000 0.000 0.000 10.165" Properties=species:S:1:pos:R:3 pbc="T T T"
Pr 0.000 0.000 0.000
Pr 2.055 3.584 5.082
Ga 0.000 1.382 3.657
Ga 0.000 1.382 6.508
Ga 0.000 3.584 0.000
Ga 0.000 5.785 3.657
Ga 0.000 5.785 6.508
Ga 2.055 0.000 5.082
Ga 2.055 2.202 1.425
Ga 2.055 2.202 8.739
Ga 2.055 4.966 1.425
Ga 2.055 4.966 8.739
Pd 0.000 3.584 2.452
Pd 0.000 3.584 7.713
Pd 2.055 0.000 2.630
Pd 2.055 0.000 7.534
```

Repeat the first record exactly.
Computed, not measured: a relaxed structure of TiN at the PBE level of DFT.

Uncorrected energy ... -8.8036 eV/atom
ΔE_f (raw) ... -0.69 eV per atom

Cell and atoms, written as extended XYZ:
```
6
Lattice="4.134 0.000 0.000 0.000 4.134 0.000 0.000 0.000 4.134" Properties=species:S:1:pos:R:3 pbc="T T T"
Ti 0.000 0.000 2.067
Ti 0.000 2.067 0.000
Ti 2.067 0.000 0.000
N 0.000 2.067 2.067
N 2.067 0.000 2.067
N 2.067 2.067 0.000
```